# 1
The following is a DFT calculation (PBE-GGA) of NdHo2Sc6 after structural relaxation.

Summary:
D(E_F) in states/eV per cell: 33.530
V in Å³/f.u.: 295
Calculated formation energy in eV/atom: 0.86

abc: 7.8088 7.8088 9.6849
angles: 90.00 90.00 90.00
Closest atoms and distances in Å follow each position.
Sites, in units of the cell vectors:
1 Sc 0.2607 0.2607 0.8354  2 Ho 2.88-3.10, 1 Nd 3.09, 1 Sc 3.19
2 Sc 0.7393 0.7393 0.1646  2 Ho 2.88-3.10, 1 Nd 3.09, 1 Sc 3.19
3 Sc 0.2393 0.7607 0.3354  2 Ho 2.88-3.10, 1 Nd 3.09, 1 Sc 3.19
4 Sc 0.7607 0.2393 0.3354  2 Ho 2.88-3.10, 1 Nd 3.09, 1 Sc 3.19
5 Sc 0.2629 0.2629 0.5000  1 Nd 2.90, 2 Ho 3.08, 2 Sc 3.25
6 Sc 0.7629 0.2371 0.0000  1 Nd 2.90, 2 Ho 3.08, 2 Sc 3.25
7 Sc 0.7607 0.2393 0.6646  2 Ho 2.88-3.10, 1 Nd 3.09, 1 Sc 3.19
8 Sc 0.7393 0.7393 0.8354  2 Ho 2.88-3.10, 1 Nd 3.09, 1 Sc 3.19
9 Sc 0.2393 0.7607 0.6646  2 Ho 2.88-3.10, 1 Nd 3.09, 1 Sc 3.19
10 Sc 0.2371 0.7629 0.0000  1 Nd 2.90, 2 Ho 3.08, 2 Sc 3.25
11 Sc 0.7371 0.7371 0.5000  1 Nd 2.90, 2 Ho 3.08, 2 Sc 3.25
12 Sc 0.2607 0.2607 0.1646  2 Ho 2.88-3.10, 1 Nd 3.09, 1 Sc 3.19
13 Ho 0.5000 0.5000 0.6676  6 Sc 2.88-3.10, 1 Nd 3.22
14 Ho 0.0000 0.0000 0.1676  6 Sc 2.88-3.10, 1 Nd 3.22
15 Ho 0.5000 0.5000 0.3324  6 Sc 2.88-3.10, 1 Nd 3.22
16 Ho 0.0000 0.0000 0.8324  6 Sc 2.88-3.10, 1 Nd 3.22
17 Nd 0.5000 0.5000 0.0000  6 Sc 2.90-3.09, 2 Ho 3.22
18 Nd 0.0000 0.0000 0.5000  6 Sc 2.90-3.09, 2 Ho 3.22

---

# 2
The following is a DFT calculation (PBE-GGA) of Nd3Ho6Sc after structural relaxation.

Summary:
D(E_F) in states/eV per cell: 18.179
V in Å³/f.u.: 327
Offset from the most stable computed form in eV per atom: 0.094
Calculated formation energy in eV/atom: 0.24

abc: 6.5287 9.6176 6.5837
angles: 111.15 119.72 90.00
Closest atoms and distances in Å follow each position.
Sites, in units of the cell vectors:
1 Ho 0.9334 0.3141 0.3733  3 Ho 3.22-3.31, 3 Nd 3.25-3.34
2 Ho 0.4399 0.3141 0.3733  3 Ho 3.22-3.31, 3 Nd 3.25-3.34
3 Ho 0.5601 0.6859 0.6267  3 Ho 3.22-3.31, 3 Nd 3.25-3.34
4 Ho 0.6365 0.9199 0.2731  1 Sc 3.68, 9 Ho 3.80-4.05, 6 Nd 3.80-3.90
5 Ho 0.3635 0.0801 0.7269  1 Sc 3.68, 9 Ho 3.80-4.05, 6 Nd 3.80-3.90
6 Ho 0.0666 0.6859 0.6267  3 Ho 3.22-3.31, 3 Nd 3.25-3.34
7 Sc 0.5000 0.5000 0.0000  10 Ho 3.67-3.68, 4 Nd 3.69
8 Nd 0.0708 0.6972 0.1417  4 Ho 3.25-3.34, 2 Nd 3.33-3.45
9 Nd 0.9292 0.3028 0.8583  4 Ho 3.25-3.34, 2 Nd 3.33-3.45
10 Nd 0.0000 0.0000 0.0000  4 Ho 3.32, 2 Nd 3.33

---

# 3
The following is a DFT calculation (PBE-GGA) of Nd2Ho7Sc after structural relaxation.

Summary:
D(E_F) in states/eV per cell: 15.211
V in Å³/f.u.: 319
Calculated formation energy in eV/atom: 0.17

abc: 3.4534 14.6492 14.6493
angles: 154.50 90.00 90.00
Closest atoms and distances in Å follow each position.
Sites, in units of the cell vectors:
1 Nd 0.5000 0.7071 0.2929  2 Nd 3.45, 8 Ho 3.57-3.73
2 Nd 0.5000 0.2929 0.7071  2 Nd 3.45, 8 Ho 3.57-3.73
3 Ho 0.0000 0.8163 0.1837  6 Ho 3.44-3.45, 6 Nd 3.57-3.73
4 Ho 0.5000 0.1479 0.3388  7 Ho 3.15-3.45
5 Ho 0.5000 0.5000 0.5000  6 Ho 3.19-3.45
6 Ho 0.5000 0.6612 0.8521  7 Ho 3.15-3.45
7 Ho 0.0000 0.1837 0.8163  6 Ho 3.44-3.45, 6 Nd 3.57-3.73
8 Ho 0.5000 0.8521 0.6612  7 Ho 3.15-3.45
9 Ho 0.5000 0.3388 0.1479  7 Ho 3.15-3.45
10 Sc 0.0000 0.0000 0.0000  2 Sc 3.45, 12 Ho 3.59-3.67

---

# 4
The following is a DFT calculation (PBE-GGA) of Nd2Ho3Sc3 after structural relaxation.

Summary:
D(E_F) in states/eV per cell: 14.894
V in Å³/f.u.: 237
Offset from the most stable computed form in eV per atom: 0.064
Calculated formation energy in eV/atom: 0.12

abc: 5.6327 5.7458 8.3208
angles: 109.58 109.78 90.00
Closest atoms and distances in Å follow each position.
Sites, in units of the cell vectors:
1 Sc 0.0000 0.0000 0.0000  4 Sc 3.19-3.56, 4 Ho 3.35
2 Sc 0.1206 0.6555 0.2412  3 Sc 3.19-3.56, 2 Ho 3.33, 4 Nd 3.36-3.47
3 Sc 0.8794 0.3445 0.7588  3 Sc 3.19-3.56, 2 Ho 3.33, 4 Nd 3.36-3.47
4 Ho 0.5000 0.5000 0.0000  4 Ho 3.26-3.53, 4 Sc 3.33
5 Ho 0.6231 0.0915 0.2462  3 Ho 3.26-3.62, 2 Sc 3.35, 4 Nd 3.38-3.48
6 Ho 0.3769 0.9085 0.7538  3 Ho 3.26-3.62, 2 Sc 3.35, 4 Nd 3.38-3.48
7 Nd 0.7528 0.7102 0.5055  5 Sc 3.36-3.63, 5 Ho 3.38-3.70, 2 Nd 3.69
8 Nd 0.2472 0.2898 0.4945  5 Sc 3.36-3.63, 5 Ho 3.38-3.70, 2 Nd 3.69